[1]
Computed, not measured: a relaxed U2CuSe5 crystal at the GGA-PBE level of DFT.

Output
Crystal system: orthorhombic
SG: Pbam (55)
Electronic total energy: -50.85 eV/f.u.
Raw formation energy: -0.844 eV per atom
Spin magnetization: 0.527 μB/atom

Geometry as POSCAR:
```
U2CuSe5
1.0
7.7907 0.0000 0.0000
0.0000 12.0685 0.0000
0.0000 0.0000 3.8154
U Cu Se
4 2 10
Cartesian
0.0113 2.1805 0.0000 U
3.8841 8.2147 0.0000 U
3.9066 3.8538 0.0000 U
7.7794 9.8880 0.0000 U
0.0000 6.0343 1.9077 Cu
3.8953 0.0000 1.9077 Cu
0.0000 0.0000 1.9077 Se
1.0896 7.1664 0.0000 Se
1.6532 3.5853 1.9077 Se
2.2421 9.6195 1.9077 Se
2.8057 1.1321 0.0000 Se
3.8953 6.0343 1.9077 Se
4.9849 10.9364 0.0000 Se
5.5485 2.4490 1.9077 Se
6.1375 8.4832 1.9077 Se
6.7011 4.9021 0.0000 Se
```


[2]
Computed, not measured: a relaxed LaCd2Ag6 crystal at the GGA-PBE level of DFT.

Output
Crystal system: orthorhombic
Energy of formation: -2.6 kJ per mole of atoms
SG: Immm (71)
Electronic total energy: -24.11 eV/f.u.
Spin magnetization: 0.000 μB/atom

Geometry as POSCAR:
```
LaCd2Ag6
1.0
-1.7560 3.9621 7.1162
1.7560 -3.9621 7.1162
1.7560 3.9621 -7.1162
La Cd Ag
1 2 6
Cartesian
0.0000 0.0000 0.0000 La
1.7560 0.0000 5.0747 Cd
0.0000 3.9621 2.0415 Cd
1.7560 1.4334 -2.5392 Ag
1.7560 2.6037 0.0000 Ag
1.7560 1.4334 2.5392 Ag
0.0000 2.5287 4.5770 Ag
0.0000 1.3584 7.1162 Ag
0.0000 2.5287 9.6554 Ag
```


[3]
Computed, not measured: a relaxed LiLaTl2 crystal at the GGA-PBE level of DFT.

Output
Crystal system: monoclinic
Energy of formation: -19.2 kJ per mole of atoms
SG: Cm (8)
Electronic total energy: -12.37 eV/f.u.
Spin magnetization: 0.000 μB/atom

Geometry as POSCAR:
```
LiLaTl2
1.0
5.3746 -1.9001 0.0000
5.3746 1.9001 0.0000
-1.4277 0.0000 5.5843
Li La Tl
1 1 2
Cartesian
0.0000 0.0000 0.0000 Li
7.8160 0.0000 1.9299 La
1.6507 0.0000 4.8577 Tl
4.8191 0.0000 3.2996 Tl
```


[4]
Computed, not measured: a relaxed TmThZn2Ga2 crystal at the GGA-PBE level of DFT.

Output
Crystal system: trigonal
Energy of formation: -49.8 kJ per mole of atoms
SG: P-3m1 (164)
Electronic total energy: -23.59 eV/f.u.
Spin magnetization: 0.000 μB/atom

Geometry as POSCAR:
```
TmThZn2Ga2
1.0
4.4052 0.0000 0.0000
-2.2026 3.8151 0.0000
0.0000 0.0000 7.4047
Tm Th Zn Ga
1 1 2 2
Cartesian
0.0000 0.0000 0.0000 Tm
0.0000 0.0000 3.7023 Th
0.0000 2.5434 5.7356 Zn
2.2026 1.2717 1.6691 Zn
0.0000 2.5434 1.7256 Ga
2.2026 1.2717 5.6791 Ga
```


[5]
Computed, not measured: a relaxed Rb3SmAg2I8 crystal at the GGA-PBE level of DFT.

Output
Crystal system: trigonal
SG: P-3m1 (164)
Electronic total energy: -40.43 eV/f.u.
Raw formation energy: -1.050 eV per atom
Spin magnetization: 0.000 μB/atom

Geometry as POSCAR:
```
Rb3SmAg2I8
1.0
8.5963 0.0000 0.0000
-4.2982 7.4446 0.0000
0.0000 0.0000 10.6633
Rb Sm Ag I
3 1 2 8
Cartesian
0.0000 0.0000 0.0000 Rb
0.0000 4.9631 6.4455 Rb
4.2982 2.4815 4.2178 Rb
0.0000 0.0000 5.3316 Sm
0.0000 4.9631 1.9573 Ag
4.2982 2.4815 8.7060 Ag
0.0000 2.4545 3.4768 I
-2.1725 6.2174 3.4768 I
2.1257 1.2273 7.1864 I
0.0000 4.9631 9.9376 I
4.2982 2.4815 0.7257 I
2.1725 6.2174 3.4768 I
6.4706 1.2273 7.1864 I
4.2982 4.9901 7.1864 I
```


[6]
Computed, not measured: a relaxed Lu2AgSn crystal at the GGA-PBE level of DFT.

Output
Crystal system: tetragonal
Energy of formation: -44.3 kJ per mole of atoms
SG: P4/mmm (123)
Electronic total energy: -17.73 eV/f.u.
Spin magnetization: 0.063 μB/atom

Geometry as POSCAR:
```
Lu2AgSn
1.0
4.9139 0.0000 0.0000
0.0000 4.9139 0.0000
0.0000 0.0000 3.9808
Lu Ag Sn
2 1 1
Cartesian
0.0000 2.4569 0.0000 Lu
2.4569 0.0000 0.0000 Lu
0.0000 0.0000 1.9904 Ag
2.4569 2.4569 1.9904 Sn
```


[7]
Computed, not measured: a relaxed TlAsNF2 crystal at the GGA-PBE level of DFT.

Output
Crystal system: tetragonal
SG: P4/mmm (123)
Electronic total energy: -22.46 eV/f.u.
Raw formation energy: -0.674 eV per atom
Spin magnetization: 0.000 μB/atom

Geometry as POSCAR:
```
TlAsNF2
1.0
4.6270 0.0000 0.0000
0.0000 4.6270 0.0000
0.0000 0.0000 3.6691
Tl As N F
1 1 1 2
Cartesian
0.0000 0.0000 0.0000 Tl
2.3135 2.3135 1.8346 As
2.3135 2.3135 0.0000 N
0.0000 2.3135 1.8346 F
2.3135 0.0000 1.8346 F
```


[8]
Computed, not measured: a relaxed Tl3Ag2Br2F4 crystal at the GGA-PBE level of DFT.

Output
Crystal system: tetragonal
SG: I4/mmm (139)
Electronic total energy: -36.43 eV/f.u.
Raw formation energy: -1.163 eV per atom
Spin magnetization: 0.000 μB/atom

Geometry as POSCAR:
```
Tl3Ag2Br2F4
1.0
-2.2658 2.2658 12.5416
2.2658 -2.2658 12.5416
2.2658 2.2658 -12.5416
Tl Ag Br F
3 2 2 4
Cartesian
0.0000 0.0000 0.0000 Tl
0.0000 0.0000 4.1921 Tl
0.0000 0.0000 20.8912 Tl
0.0000 0.0000 10.5551 Ag
0.0000 0.0000 14.5281 Ag
0.0000 0.0000 7.6538 Br
0.0000 0.0000 17.4294 Br
2.2658 0.0000 1.7965 F
2.2658 0.0000 10.7451 F
0.0000 2.2658 1.7965 F
0.0000 2.2658 10.7451 F
```